! Sm3Dy2YTm6 PBE optimized geometry; values from VASP
! ΔE_f (eV/atom): 0.02
! Total magnetic moment (μB per atom): 0.0000
&SYSTEM
  ibrav = 0, nat = 12, ntyp = 4
/
ATOMIC_SPECIES
Dy 162.50 Dy.upf
Tm 168.93 Tm.upf
Sm 150.36 Sm.upf
Y 88.91 Y.upf
ATOMIC_POSITIONS angstrom
Dy 3.068 1.773 -0.003
Dy 0.002 3.544 -0.003
Tm 2.053 0.006 2.854
Tm -1.021 1.781 2.854
Tm 0.003 3.554 8.640
Tm 3.077 1.779 8.640
Tm 0.008 0.014 8.643
Tm 2.048 3.546 2.851
Sm -2.039 3.551 5.747
Sm 4.095 0.008 5.747
Sm 1.028 1.780 5.747
Y 0.000 0.000 0.000
CELL_PARAMETERS angstrom
6.136 0.001 -0.003
-3.065 5.315 -0.003
-1.014 -1.757 11.500